1.
DFT (PBE) results for a relaxed structure of MgInCo2.

The space group is P4mm (No. 99) and the conventional cell measures 3.0002, 3.0002 and 7.0876 Å, with angles of 90.00, 90.00 and 90.00 degrees. The distinct sites, in fractional coordinates, are Mg at (0.0000, 0.0000, 0.0000), In at (0.5000, 0.5000, 0.6565), Co at (0.0000, 0.0000, 0.3997) and Co at (0.5000, 0.5000, 0.2395).

The calculated volume comes out at 63.8 Å³ per cell. The calculation puts the density of states at the Fermi level at 3.43 states/eV/f.u.

2.
DFT (PBE) results for a relaxed structure of MgInCo2.

The space group is P4/mmm (No. 123) and the conventional cell measures 4.3010, 4.3010 and 3.1177 Å, with angles of 90.00, 90.00 and 90.00 degrees. The distinct sites, in fractional coordinates, are Mg at (0.0000, 0.0000, 0.0000), In at (0.5000, 0.5000, 0.0000) and Co at (0.0000, 0.5000, 0.5000).

The calculated volume comes out at 57.7 Å³ per cell. The calculation puts the density of states at the Fermi level at 4.89 states/eV/f.u.

3.
DFT (PBE) results for a relaxed structure of Mg6In2Co.

The space group is C2/m (No. 12) and the conventional cell measures 15.2531, 8.1561 and 3.2314 Å, with angles of 90.00, 102.17 and 90.00 degrees. The distinct sites, in fractional coordinates, are Mg at (0.0000, 0.2345, 0.0000), Mg at (0.1614, 0.3212, 0.6594), In at (0.1607, 0.0000, 0.1612) and Co at (0.0000, 0.5000, 0.5000).

The calculated volume comes out at 393.0 Å³ per cell. The calculation puts the density of states at the Fermi level at 5.48 states/eV/f.u.

4.
DFT (PBE) results for a relaxed structure of Mg2InCo2.

The space group is I4/mmm (No. 139) and the conventional cell measures 3.8746, 3.8746 and 11.6624 Å, with angles of 90.00, 90.00 and 90.00 degrees. The distinct sites, in fractional coordinates, are Mg at (0.0000, 0.5000, 0.2500), In at (0.0000, 0.0000, 0.0000) and Co at (0.0000, 0.0000, 0.4070).

The calculated volume comes out at 175.1 Å³ per cell. The calculation puts the density of states at the Fermi level at 7.17 states/eV/f.u.

5.
DFT (PBE) results for a relaxed structure of MgIn2Co.

The space group is P4mm (No. 99) and the conventional cell measures 3.0988, 3.0988 and 8.2110 Å, with angles of 90.00, 90.00 and 90.00 degrees. The distinct sites, in fractional coordinates, are Mg at (0.0000, 0.0000, 0.0000), In at (0.0000, 0.0000, 0.3744), In at (0.5000, 0.5000, 0.6974) and Co at (0.5000, 0.5000, 0.1882).

The calculated volume comes out at 78.8 Å³ per cell. The calculation puts the density of states at the Fermi level at 1.72 states/eV/f.u.

6.
DFT (PBE) results for a relaxed structure of MgIn2Co.

The space group is Imm2 (No. 44) and the conventional cell measures 2.9513, 4.3470 and 12.8034 Å, with angles of 90.00, 90.00 and 90.00 degrees. The distinct sites, in fractional coordinates, are Mg at (0.0000, 0.0000, 0.0000), In at (0.0000, 0.0000, 0.3581), In at (0.0000, 0.5000, 0.1720) and Co at (0.0000, 0.5000, 0.6782).

The calculated volume comes out at 164.3 Å³ per cell. The calculation puts the density of states at the Fermi level at 2.60 states/eV/f.u.

Number 1: formation enthalpy at 0 K 0.09 eV per atom, calculated density 6.69 Mg/m³. Number 2: formation enthalpy at 0 K 0.11 eV per atom, calculated density 7.40 Mg/m³. Number 3: formation enthalpy at 0 K 0.07 eV per atom, calculated density 3.67 Mg/m³. Number 4: formation enthalpy at 0 K 0.38 eV per atom, calculated density 5.34 Mg/m³. Number 5: formation enthalpy at 0 K 0.09 eV per atom, calculated density 6.59 Mg/m³. Number 6: formation enthalpy at 0 K 0.03 eV per atom, calculated density 6.33 Mg/m³.